Record 1
DFT (PBE-GGA) results for a geometry-optimized Nd3Tm2In2 structure.

Computed properties:
energy above the most stable polymorph in this dataset = 0.091 eV per atom
crystal system = orthorhombic
space-group type = No. 65

Cell and atoms, written as CIF:
```
data_Nd3Tm2In2
_chemical_formula_sum 'Nd3 Tm2 In2'
_symmetry_space_group_name_H-M 'P 1'
_symmetry_Int_Tables_number 1
_cell_length_a 5.016
_cell_length_b 3.536
_cell_length_c 12.129
_cell_angle_alpha 90.00
_cell_angle_beta 78.07
_cell_angle_gamma 90.00
loop_
_symmetry_equiv_pos_as_xyz
'x,y,z'
loop_
_atom_site_label
_atom_site_type_symbol
_atom_site_fract_x
_atom_site_fract_y
_atom_site_fract_z
_atom_site_occupancy
Tm1 Tm 0.713 0.500 0.574 1
Tm2 Tm 0.287 0.500 0.426 1
Nd1 Nd 0.000 0.000 0.000 1
Nd2 Nd 0.144 0.000 0.712 1
Nd3 Nd 0.856 0.000 0.288 1
In1 In 0.429 0.500 0.143 1
In2 In 0.571 0.500 0.857 1
```

***

Record 2
DFT (PBE-GGA) results for a geometry-optimized NdTm8In2 structure.

Computed properties:
crystal system = monoclinic
space-group type = No. 12

Cell and atoms, written as CIF:
```
data_NdTm8In2
_chemical_formula_sum 'Nd1 Tm8 In2'
_symmetry_space_group_name_H-M 'P 1'
_symmetry_Int_Tables_number 1
_cell_length_a 6.440
_cell_length_b 8.504
_cell_length_c 8.504
_cell_angle_alpha 46.00
_cell_angle_beta 98.54
_cell_angle_gamma 98.54
loop_
_symmetry_equiv_pos_as_xyz
'x,y,z'
loop_
_atom_site_label
_atom_site_type_symbol
_atom_site_fract_x
_atom_site_fract_y
_atom_site_fract_z
_atom_site_occupancy
Tm1 Tm 0.585 0.643 0.162 1
Tm2 Tm 0.182 0.782 0.782 1
Tm3 Tm 0.108 0.416 0.416 1
Tm4 Tm 0.585 0.162 0.643 1
Tm5 Tm 0.415 0.357 0.838 1
Tm6 Tm 0.818 0.218 0.218 1
Tm7 Tm 0.415 0.838 0.357 1
Tm8 Tm 0.892 0.584 0.584 1
In1 In 0.691 0.753 0.753 1
In2 In 0.309 0.247 0.247 1
Nd1 Nd 0.000 0.000 0.000 1
```

***

| no. | energy of formation from the pure elements (eV per atom) | DOS at the Fermi energy (states/eV/cell) |
| --- | --- | --- |
| 1 | -0.1622 | 8.67 |
| 2 | -0.0375 | 12.81 |